[1]
This record from the Alexandria database describes a geometry-optimized Ac3NdRh8 structure. The functional is PBE.

Cell and atoms, written as POSCAR:
```
Ac3NdRh8
1.0
2.757 1.592 9.031
-2.757 1.592 9.031
0.000 -3.183 9.031
Ac Nd Rh
3 1 8
direct
0.000 0.000 0.000 Ac
0.126 0.126 0.126 Ac
0.623 0.623 0.623 Ac
0.499 0.499 0.499 Nd
0.061 0.061 0.561 Rh
0.061 0.561 0.061 Rh
0.064 0.563 0.563 Rh
0.312 0.312 0.312 Rh
0.561 0.061 0.061 Rh
0.563 0.064 0.563 Rh
0.563 0.563 0.064 Rh
0.812 0.812 0.812 Rh
```

Summary:
- E: -6.915 eV per atom
- Symmetry: R3m, No. 160
- DFT formation energy: -589 meV/atom

[2]
This record from the Alexandria database describes a geometry-optimized AcNd3Rh3 structure. The functional is PBE.

Cell and atoms, written as POSCAR:
```
AcNd3Rh3
1.0
5.085 2.936 2.015
-5.085 2.936 2.015
0.000 -5.871 2.015
Ac Nd Rh
1 3 3
direct
0.000 0.000 0.000 Ac
0.150 0.578 0.578 Nd
0.578 0.150 0.578 Nd
0.578 0.578 0.150 Nd
0.084 0.084 0.580 Rh
0.084 0.580 0.084 Rh
0.580 0.084 0.084 Rh
```

Summary:
- E: -6.315 eV per atom
- Symmetry: R3m, No. 160
- DFT formation energy: -535 meV/atom

[3]
This record from the Alexandria database describes a geometry-optimized AcNd5Rh2 structure. The functional is PBE.

Cell and atoms, written as POSCAR:
```
AcNd5Rh2
1.0
-2.099 3.756 8.247
2.099 -3.756 8.247
2.099 3.756 -8.247
Ac Nd Rh
1 5 2
direct
0.000 0.000 0.000 Ac
0.089 0.339 0.750 Nd
0.411 0.661 0.750 Nd
0.500 0.000 0.500 Nd
0.589 0.339 0.250 Nd
0.911 0.661 0.250 Nd
0.316 0.816 0.500 Rh
0.684 0.184 0.500 Rh
```

Summary:
- E: -5.657 eV per atom
- Symmetry: Immm, No. 71
- DFT formation energy: -326 meV/atom

[4]
This record from the Alexandria database describes a geometry-optimized AcNd2Rh structure. The functional is PBE.

Cell and atoms, written as POSCAR:
```
AcNd2Rh
1.0
1.994 -6.231 0.000
1.994 6.231 0.000
0.000 0.000 10.157
Ac Nd Rh
2 4 2
direct
0.081 0.919 0.750 Ac
0.919 0.081 0.250 Ac
0.357 0.643 0.569 Nd
0.357 0.643 0.931 Nd
0.643 0.357 0.069 Nd
0.643 0.357 0.431 Nd
0.233 0.767 0.250 Rh
0.767 0.233 0.750 Rh
```

Summary:
- E: -5.646 eV per atom
- Symmetry: Cmcm, No. 63
- DFT formation energy: -398 meV/atom

[5]
This record from the Alexandria database describes a geometry-optimized AcNdSbRh structure. The functional is PBE.

Cell and atoms, written as POSCAR:
```
AcNdSbRh
1.0
0.000 3.829 3.829
3.829 0.000 3.829
3.829 3.829 0.000
Ac Nd Sb Rh
1 1 1 1
direct
0.000 0.000 0.000 Ac
0.500 0.500 0.500 Nd
0.250 0.250 0.250 Sb
0.750 0.750 0.750 Rh
```

Summary:
- E: -5.707 eV per atom
- Symmetry: F-43m, No. 216
- Energy relative to the elements, uncorrected: -619 meV per atom

[6]
This record from the Alexandria database describes a geometry-optimized AcNdSb2Rh2 structure. The functional is PBE.

Cell and atoms, written as POSCAR:
```
AcNdSb2Rh2
1.0
4.549 0.000 0.000
-2.274 3.939 0.000
0.000 0.000 8.563
Ac Nd Sb Rh
1 1 2 2
direct
0.000 0.000 0.000 Ac
0.000 0.000 0.500 Nd
0.333 0.667 0.267 Sb
0.667 0.333 0.733 Sb
0.333 0.667 0.740 Rh
0.667 0.333 0.260 Rh
```

Summary:
- E: -6.220 eV per atom
- Symmetry: P-3m1, No. 164
- Energy relative to the elements, uncorrected: -916 meV per atom

[7]
This record from the Alexandria database describes a geometry-optimized AcNdSiRh structure. The functional is PBE.

Cell and atoms, written as POSCAR:
```
AcNdSiRh
1.0
0.000 3.703 3.703
3.703 0.000 3.703
3.703 3.703 0.000
Ac Nd Si Rh
1 1 1 1
direct
0.000 0.000 0.000 Ac
0.500 0.500 0.500 Nd
0.750 0.750 0.750 Si
0.250 0.250 0.250 Rh
```

Summary:
- E: -5.837 eV per atom
- Symmetry: F-43m, No. 216
- Energy relative to the elements, uncorrected: -424 meV per atom

[8]
This record from the Alexandria database describes a geometry-optimized Ac2NdSn4Rh3 structure. The functional is PBE.

Cell and atoms, written as POSCAR:
```
Ac2NdSn4Rh3
1.0
4.549 0.000 0.000
0.000 4.549 0.000
0.000 0.000 12.360
Ac Nd Sn Rh
2 1 4 3
direct
0.000 0.500 0.226 Ac
0.500 0.000 0.774 Ac
0.000 0.000 0.500 Nd
0.000 0.000 0.000 Sn
0.000 0.500 0.667 Sn
0.500 0.000 0.333 Sn
0.500 0.500 0.000 Sn
0.000 0.500 0.881 Rh
0.500 0.000 0.119 Rh
0.500 0.500 0.500 Rh
```

Summary:
- E: -5.776 eV per atom
- Symmetry: P-4m2, No. 115
- DFT formation energy: -671 meV/atom

[9]
This record from the Alexandria database describes a geometry-optimized Ac2NdTe3Rh4 structure. The functional is PBE.

Cell and atoms, written as POSCAR:
```
Ac2NdTe3Rh4
1.0
4.587 0.000 0.000
0.000 4.587 0.000
0.000 0.000 11.393
Ac Nd Te Rh
2 1 3 4
direct
0.000 0.500 0.219 Ac
0.500 0.000 0.781 Ac
0.000 0.000 0.500 Nd
0.000 0.500 0.873 Te
0.500 0.000 0.127 Te
0.500 0.500 0.500 Te
0.000 0.000 0.000 Rh
0.000 0.500 0.644 Rh
0.500 0.000 0.356 Rh
0.500 0.500 0.000 Rh
```

Summary:
- E: -6.023 eV per atom
- Symmetry: P-4m2, No. 115
- Energy relative to the elements, uncorrected: -842 meV per atom

[10]
This record from the Alexandria database describes a geometry-optimized AcNdTeRh structure. The functional is PBE.

Cell and atoms, written as POSCAR:
```
AcNdTeRh
1.0
3.746 -2.161 0.000
3.746 2.161 0.000
-2.505 0.000 7.788
Ac Nd Te Rh
1 1 1 1
direct
0.000 0.000 0.000 Ac
0.806 0.806 0.417 Nd
0.563 0.563 0.689 Te
0.405 0.405 0.216 Rh
```

Summary:
- E: -5.869 eV per atom
- Symmetry: Cm, No. 8
- Energy relative to the elements, uncorrected: -1026 meV per atom

[11]
This record from the Alexandria database describes a geometry-optimized Ac2Nd2ThRh4 structure. The functional is PBE.

Cell and atoms, written as POSCAR:
```
Ac2Nd2ThRh4
1.0
9.017 -2.069 0.000
9.017 2.069 0.000
-1.008 0.000 6.357
Ac Nd Th Rh
2 2 1 4
direct
0.120 0.120 0.060 Ac
0.880 0.880 0.940 Ac
0.324 0.324 0.404 Nd
0.676 0.676 0.596 Nd
0.000 0.000 0.500 Th
0.260 0.260 0.831 Rh
0.486 0.486 0.211 Rh
0.514 0.514 0.789 Rh
0.740 0.740 0.169 Rh
```

Summary:
- E: -6.720 eV per atom
- Symmetry: C2/m, No. 12
- DFT formation energy: -656 meV/atom

[12]
This record from the Alexandria database describes a geometry-optimized AcNdTlRh structure. The functional is PBE.

Cell and atoms, written as POSCAR:
```
AcNdTlRh
1.0
0.000 3.835 3.835
3.835 0.000 3.835
3.835 3.835 0.000
Ac Nd Tl Rh
1 1 1 1
direct
0.000 0.000 0.000 Ac
0.500 0.500 0.500 Nd
0.250 0.250 0.250 Tl
0.750 0.750 0.750 Rh
```

Summary:
- E: -4.978 eV per atom
- Symmetry: F-43m, No. 216
- DFT formation energy: -330 meV/atom

[13]
This record from the Alexandria database describes a geometry-optimized Ac3Nd3Tl2Rh structure. The functional is PBE.

Cell and atoms, written as POSCAR:
```
Ac3Nd3Tl2Rh
1.0
9.184 0.000 0.000
-4.592 7.954 0.000
0.000 0.000 4.020
Ac Nd Tl Rh
3 3 2 1
direct
0.000 0.756 0.000 Ac
0.244 0.244 0.000 Ac
0.756 0.000 0.000 Ac
0.000 0.404 0.500 Nd
0.404 0.000 0.500 Nd
0.596 0.596 0.500 Nd
0.333 0.667 0.000 Tl
0.667 0.333 0.000 Tl
0.000 0.000 0.500 Rh
```

Summary:
- E: -4.644 eV per atom
- Symmetry: P-62m, No. 189
- DFT formation energy: -342 meV/atom

[14]
This record from the Alexandria database describes a geometry-optimized AcNdRu structure. The functional is PBE.

Cell and atoms, written as POSCAR:
```
AcNdRu
1.0
0.000 3.579 3.579
3.579 0.000 3.579
3.579 3.579 0.000
Ac Nd Ru
1 1 1
direct
0.000 0.000 0.000 Ac
0.500 0.500 0.500 Nd
0.750 0.750 0.750 Ru
```

Summary:
- E: -6.161 eV per atom
- Symmetry: F-43m, No. 216
- DFT formation energy: -110 meV/atom

[15]
This record from the Alexandria database describes a geometry-optimized Ac5NdRu4 structure. The functional is PBE.

Cell and atoms, written as POSCAR:
```
Ac5NdRu4
1.0
9.060 -2.144 0.000
9.060 2.144 0.000
-2.112 0.000 7.924
Ac Nd Ru
5 1 4
direct
0.000 0.000 0.000 Ac
0.334 0.334 0.648 Ac
0.336 0.336 0.165 Ac
0.664 0.664 0.835 Ac
0.666 0.666 0.352 Ac
0.000 0.000 0.500 Nd
0.175 0.175 0.624 Ru
0.494 0.494 0.756 Ru
0.506 0.506 0.244 Ru
0.825 0.825 0.376 Ru
```

Summary:
- E: -6.268 eV per atom
- Symmetry: C2/m, No. 12
- DFT formation energy: -26 meV/atom

[16]
This record from the Alexandria database describes a geometry-optimized Ac2NdRu structure. The functional is PBE.

Cell and atoms, written as POSCAR:
```
Ac2NdRu
1.0
2.051 1.184 9.782
-2.051 1.184 9.782
0.000 -2.368 9.782
Ac Nd Ru
2 1 1
direct
0.224 0.224 0.224 Ac
0.776 0.776 0.776 Ac
0.000 0.000 0.000 Nd
0.500 0.500 0.500 Ru
```

Summary:
- E: -5.539 eV per atom
- Symmetry: R-3m, No. 166
- DFT formation energy: 26 meV/atom

[17]
This record from the Alexandria database describes a geometry-optimized Ac7NdRu3 structure. The functional is PBE.

Cell and atoms, written as POSCAR:
```
Ac7NdRu3
1.0
8.467 0.000 0.000
-4.234 7.333 0.000
0.000 0.000 6.794
Ac Nd Ru
7 1 3
direct
0.000 0.000 0.000 Ac
0.164 0.329 0.531 Ac
0.164 0.836 0.531 Ac
0.504 0.008 0.009 Ac
0.504 0.496 0.009 Ac
0.671 0.836 0.531 Ac
0.992 0.496 0.009 Ac
0.667 0.333 0.545 Nd
0.336 0.168 0.767 Ru
0.832 0.168 0.767 Ru
0.832 0.664 0.767 Ru
```

Summary:
- E: -5.733 eV per atom
- Symmetry: P3m1, No. 156
- DFT formation energy: -156 meV/atom

[18]
This record from the Alexandria database describes a geometry-optimized Ac2NdRu structure. The functional is PBE.

Cell and atoms, written as POSCAR:
```
Ac2NdRu
1.0
2.056 -6.546 0.000
2.056 6.546 0.000
0.000 0.000 10.119
Ac Nd Ru
4 2 2
direct
0.142 0.858 0.571 Ac
0.142 0.858 0.929 Ac
0.858 0.142 0.071 Ac
0.858 0.142 0.429 Ac
0.405 0.595 0.750 Nd
0.595 0.405 0.250 Nd
0.245 0.755 0.250 Ru
0.755 0.245 0.750 Ru
```

Summary:
- E: -5.689 eV per atom
- Symmetry: Cmcm, No. 63
- DFT formation energy: -123 meV/atom

[19]
This record from the Alexandria database describes a geometry-optimized AcNdRu structure. The functional is PBE.

Cell and atoms, written as POSCAR:
```
AcNdRu
1.0
6.685 0.000 0.000
0.000 4.284 0.000
-2.664 0.000 6.889
Ac Nd Ru
2 2 2
direct
0.248 0.000 0.254 Ac
0.752 0.000 0.746 Ac
0.274 0.499 0.758 Nd
0.726 0.499 0.242 Nd
0.500 0.499 0.500 Ru
0.500 0.998 0.000 Ru
```

Summary:
- E: -6.187 eV per atom
- Symmetry: P2, No. 3
- DFT formation energy: -137 meV/atom

[20]
This record from the Alexandria database describes a geometry-optimized Ac8NdRu2 structure. The functional is PBE.

Cell and atoms, written as POSCAR:
```
Ac8NdRu2
1.0
6.774 -4.571 0.000
6.774 4.571 0.000
-3.125 0.000 7.241
Ac Nd Ru
8 1 2
direct
0.088 0.681 0.700 Ac
0.169 0.169 0.793 Ac
0.319 0.912 0.300 Ac
0.372 0.372 0.301 Ac
0.628 0.628 0.699 Ac
0.681 0.088 0.700 Ac
0.831 0.831 0.207 Ac
0.912 0.319 0.300 Ac
0.500 0.500 0.000 Nd
0.307 0.307 0.600 Ru
0.693 0.693 0.400 Ru
```

Summary:
- E: -5.116 eV per atom
- Symmetry: C2/m, No. 12
- DFT formation energy: -8 meV/atom